## TmAg5Au8 (PBE)

Data for a relaxed TmAg5Au8 crystal.

abc: 7.128 7.128 7.128
angles: 110.95 106.56 110.95
Element x y z (fractional)
Au 0.765 0.274 0.361
Au 0.510 0.597 0.235
Au 0.639 0.403 0.913
Au 0.922 0.054 0.649
Au 0.131 0.727 0.078
Au 0.351 0.273 0.404
Au 0.087 0.726 0.490
Au 0.596 0.946 0.869
Ag 0.789 0.665 0.709
Ag 0.044 0.335 0.124
Ag 0.876 0.920 0.211
Ag 0.291 0.080 0.956
Ag 0.500 0.000 0.500
Tm 0.250 0.500 0.750

Symmetry: No. 82
Size of the total moment, μB/cell: 0.00

## CePm2C (PBE)

Data for a relaxed CePm2C crystal.

abc: 5.026 7.323 6.649
angles: 105.98 112.20 90.00
Element x y z (fractional)
Pm 0.851 0.925 0.702
Pm 0.149 0.575 0.298
Pm 0.851 0.425 0.702
Pm 0.149 0.075 0.298
Ce 0.500 0.250 0.000
Ce 0.500 0.750 0.000
C 0.000 0.250 0.000
C 0.000 0.750 0.000

Symmetry: No. 71
Size of the total moment, μB/cell: 1.15

## YTeS2 (PBE)

Data for a relaxed YTeS2 crystal.

abc: 8.567 8.567 8.567
angles: 26.96 26.96 26.96
Element x y z (fractional)
S 0.893 0.893 0.893
S 0.107 0.107 0.107
Y 0.500 0.500 0.500
Te 0.000 0.000 0.000

Symmetry: No. 166
Size of the total moment, μB/cell: 0.00
Energy relative to the elements, uncorrected, eV per atom: -1.14

## Ti5BPb3 (PBE)

Data for a relaxed Ti5BPb3 crystal.

abc: 5.551 8.286 8.286
angles: 120.00 90.00 90.00
Element x y z (fractional)
B 0.000 0.000 0.000
B 0.500 0.000 0.000
Ti 0.000 0.667 0.333
Ti 0.250 0.784 0.784
Ti 0.250 0.000 0.216
Ti 0.500 0.333 0.667
Ti 0.500 0.667 0.333
Ti 0.250 0.216 0.000
Ti 0.750 0.216 0.216
Ti 0.750 0.000 0.784
Ti 0.750 0.784 0.000
Ti 0.000 0.333 0.667
Pb 0.250 0.603 0.000
Pb 0.750 0.603 0.603
Pb 0.750 0.397 0.000
Pb 0.250 0.000 0.603
Pb 0.250 0.397 0.397
Pb 0.750 0.000 0.397

Symmetry: No. 193
Size of the total moment, μB/cell: 0.00

## CrSn3Cl (PBE)

Data for a relaxed CrSn3Cl crystal.

abc: 5.064 5.064 5.064
angles: 90.00 90.00 90.00
Element x y z (fractional)
Sn 0.000 0.500 0.000
Sn 0.000 0.000 0.500
Sn 0.500 0.000 0.000
Cl 0.500 0.500 0.500
Cr 0.000 0.000 0.000

Symmetry: No. 221
Energy relative to the lowest polymorph listed for this composition, eV/f.u.: 0.00
Size of the total moment, μB/cell: 1.00
Energy relative to the elements, uncorrected, eV per atom: -0.08

## BaMgAlI2 (PBE)

Data for a relaxed BaMgAlI2 crystal.

abc: 5.912 5.425 5.912
angles: 90.00 90.00 90.00
Element x y z (fractional)
I 0.500 0.000 0.000
I 0.000 0.000 0.500
Mg 0.000 0.000 0.000
Al 0.000 0.500 0.000
Ba 0.500 0.500 0.500

Symmetry: No. 123
Size of the total moment, μB/cell: 0.00
Energy relative to the elements, uncorrected, eV per atom: -0.38

| no. | total DFT energy (no corrections) (eV/atom) |
| --- | --- |
| 1 | -3.294 |
| 2 | -6.181 |
| 3 | -5.602 |
| 4 | -6.586 |
| 5 | -4.771 |
| 6 | -2.456 |